# 1
# ZrSi

A relaxed structure of ZrSi (GGA-PBE, Alexandria via LeMat-Bulk).

Results
space-group type	P6_3/mmc
energy	-29.0	eV per cell

```
ZrSi
1.0
-1.986 0.943 4.081
3.636 -2.869 -0.200
3.279 4.111 0.646
Si Zr
2 2
direct
0.667 0.333 0.250
0.333 0.667 0.750
0.667 0.333 0.750
0.333 0.667 0.250
```

---

# 2
# CaCCl2

A relaxed structure of CaCCl2 (GGA-PBE, Alexandria via LeMat-Bulk).

Results
space-group type	R-3m
ΔE to the lowest computed polymorph	809	meV per atom

```
CaCCl2
1.0
2.390 0.000 7.447
-1.195 2.070 7.447
-1.195 -2.070 7.447
Cl C Ca
2 1 1
direct
0.116 0.116 0.116
0.884 0.884 0.884
0.500 0.500 0.500
0.000 0.000 0.000
```

---

# 3
# Nd9SmTh2

A relaxed structure of Nd9SmTh2 (GGA-PBE, Alexandria via LeMat-Bulk).

Results
space-group type	P4/mmm
formation enthalpy at 0 K	0.04	eV/atom

```
Nd9SmTh2
1.0
5.166 0.000 0.000
0.000 5.166 0.000
0.000 0.000 15.517
Nd Sm Th
9 1 2
direct
0.500 0.500 0.666
0.500 0.000 0.500
0.000 0.500 0.500
0.500 0.500 0.334
0.500 0.000 0.831
0.000 0.500 0.169
0.500 0.500 0.000
0.500 0.000 0.169
0.000 0.500 0.831
0.000 0.000 0.000
0.000 0.000 0.334
0.000 0.000 0.666
```

---

# 4
# Ba2CaInSb

A relaxed structure of Ba2CaInSb (GGA-PBE, Alexandria via LeMat-Bulk).

Results
space-group type	P4/mmm
ΔE to the lowest computed polymorph	0	meV per atom

```
Ba2CaInSb
1.0
-5.296 2.247 -3.375
-3.523 -1.846 4.299
0.585 5.918 3.021
In Sb Ba Ca
1 1 2 1
direct
0.500 0.500 0.500
0.000 0.000 0.000
0.500 0.000 0.000
0.000 0.000 0.500
0.000 0.500 0.000
```

---

# 5
# InSb2AsS

A relaxed structure of InSb2AsS (GGA-PBE, Alexandria via LeMat-Bulk).

Results
space-group type	P4/mmm
energy	-17.5	eV per cell

```
InSb2AsS
1.0
-0.061 4.965 -2.280
-3.175 -1.530 -3.246
-4.092 1.469 3.309
Sb As In S
2 1 1 1
direct
0.500 0.000 0.000
0.000 0.000 0.500
0.000 0.000 0.000
0.500 0.500 0.500
0.000 0.500 0.000
```

---

# 6
# BaAc3Cd4

A relaxed structure of BaAc3Cd4 (GGA-PBE, Alexandria via LeMat-Bulk).

Results
space-group type	Pmma
formation enthalpy at 0 K	-0.29	eV/atom

```
BaAc3Cd4
1.0
5.800 0.000 0.000
0.000 8.279 0.000
0.000 0.000 11.600
Cd Ac Ba
8 6 2
direct
0.998 0.757 0.250
0.002 0.757 0.750
0.998 0.243 0.250
0.500 0.757 0.500
0.002 0.243 0.750
0.500 0.243 0.000
0.500 0.757 0.000
0.500 0.243 0.500
0.499 0.000 0.250
0.499 0.500 0.250
0.501 0.000 0.750
0.000 0.000 0.500
0.501 0.500 0.750
0.000 0.000 0.000
0.000 0.500 0.000
0.000 0.500 0.500
```

---

# 7
# ZnCuMo

A relaxed structure of ZnCuMo (GGA-PBE, Alexandria via LeMat-Bulk).

Results
space-group type	R-3m
ΔE to the lowest computed polymorph	290	meV per atom
formation enthalpy at 0 K	0.37	eV/atom

```
ZnCuMo
1.0
4.042 0.000 0.000
2.021 3.501 0.000
2.021 1.167 6.368
Mo Cu Zn
2 2 2
direct
0.700 0.700 0.899
0.300 0.300 0.101
0.435 0.435 0.694
0.565 0.565 0.306
0.861 0.861 0.418
0.139 0.139 0.582
```

---

# 8
# Sm5SnTe5

A relaxed structure of Sm5SnTe5 (GGA-PBE, Alexandria via LeMat-Bulk).

Results
space-group type	C2/m
energy	-58.0	eV per cell

```
Sm5SnTe5
1.0
6.293 0.000 0.000
-3.147 6.583 -2.471
0.000 0.345 8.865
Sm Te Sn
5 5 1
direct
0.163 0.326 0.331
0.837 0.675 0.169
0.837 0.674 0.669
0.500 0.000 0.000
0.163 0.325 0.831
0.666 0.331 0.337
0.000 0.000 0.500
0.334 0.668 0.170
0.334 0.669 0.663
0.666 0.332 0.830
0.000 0.000 0.000
```

---

# 9
# Tb2Zn4Ga3Hg

A relaxed structure of Tb2Zn4Ga3Hg (GGA-PBE, Alexandria via LeMat-Bulk).

Results
space-group type	P-4m2
formation enthalpy at 0 K	-0.37	eV/atom

```
Tb2Zn4Ga3Hg
1.0
4.225 0.000 0.000
0.000 4.225 0.000
0.000 0.000 10.780
Ga Zn Hg Tb
3 4 1 2
direct
0.500 0.000 0.868
0.000 0.500 0.132
0.000 0.000 0.500
0.500 0.500 0.000
0.000 0.500 0.353
0.000 0.000 0.000
0.500 0.000 0.647
0.500 0.500 0.500
0.500 0.000 0.238
0.000 0.500 0.762
```

---

# 10
# Tb3Al6Ag5

A relaxed structure of Tb3Al6Ag5 (GGA-PBE, Alexandria via LeMat-Bulk).

Results
space-group type	Immm
formation enthalpy at 0 K	-0.34	eV/atom

```
Tb3Al6Ag5
1.0
-2.369 1.408 -3.451
3.252 -3.935 -6.663
-4.960 -6.453 -2.053
Al Tb Ag
6 3 5
direct
0.500 0.689 0.311
0.135 0.583 0.147
0.865 0.417 0.853
0.500 0.311 0.689
0.865 0.853 0.417
0.135 0.147 0.583
0.703 0.297 0.297
0.297 0.703 0.703
0.000 0.000 0.000
0.661 0.982 0.696
0.339 0.304 0.018
0.661 0.696 0.982
0.000 0.500 0.500
0.339 0.018 0.304
```

---

# 11
# NdY5Ho3

A relaxed structure of NdY5Ho3 (GGA-PBE, Alexandria via LeMat-Bulk).

Results
space-group type	C2/c
ΔE to the lowest computed polymorph	0	meV per atom
formation enthalpy at 0 K	0.22	eV/atom

```
NdY5Ho3
1.0
-3.723 -7.799 0.869
2.086 -7.291 4.236
-5.936 -0.128 10.260
Y Ho Nd
10 6 2
direct
0.694 0.306 0.250
0.524 0.914 0.237
0.864 0.767 0.951
0.476 0.086 0.763
0.233 0.136 0.549
0.086 0.476 0.263
0.136 0.233 0.049
0.914 0.524 0.737
0.306 0.694 0.750
0.767 0.864 0.451
0.343 0.447 0.511
0.000 0.000 0.000
0.447 0.343 0.011
0.657 0.553 0.489
0.553 0.657 0.989
0.000 0.000 0.500
0.199 0.801 0.250
0.801 0.199 0.750
```

---

# 12
# Nd4Bi2Pb

A relaxed structure of Nd4Bi2Pb (GGA-PBE, Alexandria via LeMat-Bulk).

Results
space-group type	I-42d
ΔE to the lowest computed polymorph	0	meV per atom
formation enthalpy at 0 K	-0.75	eV/atom

```
Nd4Bi2Pb
1.0
-7.490 -1.522 3.483
-0.917 1.094 -8.277
5.099 -6.520 1.427
Bi Nd Pb
4 8 2
direct
0.499 0.374 0.625
0.875 0.126 0.501
0.375 0.874 0.749
0.251 0.626 0.125
0.268 0.251 0.877
0.123 0.391 0.374
0.626 0.749 0.018
0.982 0.609 0.732
0.124 0.891 0.373
0.627 0.751 0.518
0.768 0.249 0.876
0.482 0.109 0.232
0.000 0.000 0.000
0.750 0.500 0.250
```

---

Number 1: D(E_F) 0.230 states/eV per atom. Number 2: D(E_F) 0.416 states/eV per atom. Number 3: D(E_F) 1.346 states/eV per atom. Number 4: D(E_F) 1.051 states/eV per atom. Number 5: D(E_F) 0.651 states/eV per atom. Number 6: D(E_F) 0.949 states/eV per atom. Number 7: D(E_F) 0.691 states/eV per atom. Number 8: D(E_F) 0.226 states/eV per atom. Number 9: D(E_F) 0.382 states/eV per atom. Number 10: D(E_F) 0.530 states/eV per atom. Number 11: D(E_F) 1.590 states/eV per atom. Number 12: D(E_F) 1.131 states/eV per atom.